No. 1
VASP calculation (PBE-GGA) on a relaxed Pm3Nd4Sm4 crystal.

abc: 3.651 9.606 22.247
angles: 90.00 90.00 90.00
Space group Immm (No. 71)
Asymmetric unit:
Pm 0.000 0.000 0.000 (multiplicity 2)
Pm 0.000 0.500 0.108 (multiplicity 4)
Nd 0.000 0.324 0.355 (multiplicity 8)
Sm 0.000 0.000 0.260 (multiplicity 4)
Sm 0.000 0.184 0.500 (multiplicity 4)

Output
formation enthalpy at 0 K: 0.13 eV/atom
volume: 390.1 Å³/f.u.

---

No. 2
VASP calculation (PBE-GGA) on a relaxed PmNd4Sm7 crystal.

abc: 6.364 7.351 9.087
angles: 89.96 76.51 90.00
Space group P-1 (No. 2)
Asymmetric unit:
Pm 0.000 0.000 0.000 (multiplicity 1)
Nd 0.223 0.500 0.332 (multiplicity 2)
Nd 0.278 0.249 0.668 (multiplicity 2)
Sm 0.000 0.500 0.000 (multiplicity 1)
Sm 0.222 0.000 0.332 (multiplicity 2)
Sm 0.278 0.751 0.668 (multiplicity 2)
Sm 0.500 0.249 0.000 (multiplicity 2)

Output
formation enthalpy at 0 K: 0.01 eV/atom
volume: 413.4 Å³/f.u.

---

No. 3
VASP calculation (PBE-GGA) on a relaxed PmNd5Sm5 crystal.

abc: 7.047 7.055 8.686
angles: 75.40 76.11 70.81
Space group P-1 (No. 2)
Asymmetric unit:
Pm 0.000 0.000 0.000 (multiplicity 1)
Nd 0.000 0.500 0.000 (multiplicity 1)
Nd 0.147 0.144 0.358 (multiplicity 2)
Nd 0.358 0.760 0.728 (multiplicity 2)
Sm 0.220 0.648 0.286 (multiplicity 2)
Sm 0.315 0.299 0.643 (multiplicity 2)
Sm 0.500 0.000 0.000 (multiplicity 1)

Output
formation enthalpy at 0 K: 0.14 eV/atom
volume: 388.8 Å³/f.u.

---

No. 4
VASP calculation (PBE-GGA) on a relaxed PmNdSm4 crystal.

abc: 6.935 12.311 9.746
angles: 90.00 90.00 90.00
Space group Cmcm (No. 63)
Asymmetric unit:
Pm 0.000 0.000 0.000 (multiplicity 4)
Nd 0.000 0.180 0.250 (multiplicity 4)
Sm 0.000 0.345 0.573 (multiplicity 8)
Sm 0.236 0.397 0.250 (multiplicity 8)

Output
formation enthalpy at 0 K: 0.23 eV/atom
volume: 208.0 Å³/f.u.

---

No. 5
VASP calculation (PBE-GGA) on a relaxed Pm5Nd4Sm2 crystal.

abc: 24.431 3.517 8.973
angles: 90.00 96.81 90.00
Space group C2/m (No. 12)
Asymmetric unit:
Pm 0.000 0.000 0.000 (multiplicity 2)
Pm 0.141 0.500 0.115 (multiplicity 4)
Pm 0.231 0.500 0.825 (multiplicity 4)
Nd 0.046 0.500 0.361 (multiplicity 4)
Nd 0.178 0.000 0.471 (multiplicity 4)
Sm 0.090 0.500 0.734 (multiplicity 4)

Output
formation enthalpy at 0 K: 0.13 eV/atom
volume: 382.7 Å³/f.u.

---

No. 6
VASP calculation (PBE-GGA) on a relaxed Pm5NdSm2 crystal.

abc: 16.766 10.149 6.586
angles: 90.00 98.82 90.00
Space group C2/c (No. 15)
Asymmetric unit:
Pm 0.000 0.058 0.250 (multiplicity 4)
Pm 0.097 0.410 0.145 (multiplicity 8)
Pm 0.201 0.088 0.021 (multiplicity 8)
Nd 0.250 0.250 0.500 (multiplicity 4)
Sm 0.078 0.255 0.624 (multiplicity 8)

Output
formation enthalpy at 0 K: 0.15 eV/atom
volume: 276.9 Å³/f.u.